The following is a DFT calculation (PBE with a Hubbard U) of a geometry-optimized Rb2CoO3 structure.

abc: 5.951 11.983 13.356
angles: 90.00 90.00 90.00
Space group Cmce (No. 64)
Asymmetric unit:
1 Rb 0.000 0.056 0.143
2 Rb 0.000 0.138 0.574
3 Co 0.000 0.246 0.328
4 O 0.000 0.103 0.358
5 O 0.000 0.169 0.936
6 O 0.250 0.216 0.750

Spin magnetization, μB per atom: 0.833
Excess energy over the best structure of this formula in the dataset, eV per atom: 0.000
Energy, eV per atom: -4.844